[1]
VASP calculation (PBE) on NaInCuBi2 after structural relaxation.

a = 5.527 Å, b = 5.400 Å, c = 5.527 Å
α = 90.00°, β = 90.00°, γ = 90.00°
Positions (direct):
1 Bi 0.000 0.000 0.500
2 Cu 0.500 0.500 0.500
3 Bi 0.500 0.000 0.000
4 Na 0.000 0.000 0.000
5 In 0.000 0.500 0.000

Output
final energy = -11.6 eV for the cell shown
total magnetic moment = 0.00 Bohr magnetons per cell

---

[2]
VASP calculation (PBE) on In2CuBiPb after structural relaxation.

a = 5.057 Å, b = 5.057 Å, c = 5.611 Å
α = 90.00°, β = 90.00°, γ = 90.00°
Positions (direct):
1 In 0.000 0.500 0.000
2 In 0.500 0.000 0.000
3 Pb 0.500 0.500 0.500
4 Cu 0.000 0.000 0.000
5 Bi 0.000 0.000 0.500

Output
final energy = -16.3 eV for the cell shown
total magnetic moment = 0.00 Bohr magnetons per cell
distance to the lowest polymorph of the same formula = 24.7 meV/atom

---

[3]
VASP calculation (PBE) on In2CuBiPb after structural relaxation.

a = 5.082 Å, b = 5.082 Å, c = 5.490 Å
α = 90.00°, β = 90.00°, γ = 90.00°
Positions (direct):
1 Pb 0.000 0.000 0.500
2 In 0.500 0.000 0.000
3 Bi 0.500 0.500 0.500
4 Cu 0.000 0.000 0.000
5 In 0.000 0.500 0.000

Output
final energy = -16.4 eV for the cell shown
total magnetic moment = 0.00 Bohr magnetons per cell
distance to the lowest polymorph of the same formula = 0.0 meV/atom

---

[4]
VASP calculation (PBE) on InCuBiPb2 after structural relaxation.

a = 5.353 Å, b = 5.353 Å, c = 5.092 Å
α = 90.00°, β = 90.00°, γ = 90.00°
Positions (direct):
1 In 0.000 0.000 0.500
2 Bi 0.500 0.500 0.500
3 Pb 0.000 0.500 0.000
4 Cu 0.000 0.000 0.000
5 Pb 0.500 0.000 0.000

Output
final energy = -17.3 eV for the cell shown
total magnetic moment = 0.00 Bohr magnetons per cell

---

[5]
VASP calculation (PBE) on In4CuBiSe8 after structural relaxation.

a = 8.166 Å, b = 8.166 Å, c = 8.129 Å
α = 59.85°, β = 59.85°, γ = 60.00°
Positions (direct):
1 Se 0.760 0.760 0.719
2 In 0.007 0.479 0.506
3 Se 0.248 0.248 0.256
4 Se 0.257 0.750 0.736
5 Se 0.750 0.228 0.272
6 Se 0.750 0.257 0.736
7 Se 0.228 0.750 0.272
8 Cu 0.375 0.375 0.875
9 In 0.007 0.007 0.506
10 In 0.625 0.625 0.125
11 In 0.479 0.007 0.506
12 Se 0.750 0.750 0.272
13 Se 0.257 0.257 0.736
14 Bi 0.006 0.006 0.983

Output
final energy = -52.9 eV for the cell shown
total magnetic moment = 0.00 Bohr magnetons per cell
formation energy from raw total energies = -431.7 meV per atom

---

[6]
VASP calculation (PBE) on InCuBi2Se5 after structural relaxation.

a = 4.006 Å, b = 9.606 Å, c = 12.975 Å
α = 90.00°, β = 90.00°, γ = 102.03°
Positions (direct):
1 Cu 0.433 0.867 0.461
2 Se 0.963 0.926 0.557
3 In 0.224 0.448 0.019
4 Se 0.037 0.074 0.057
5 Bi 0.103 0.206 0.248
6 Se 0.506 0.012 0.795
7 Se 0.633 0.265 0.512
8 In 0.776 0.552 0.519
9 Se 0.687 0.373 0.892
10 Se 0.713 0.427 0.179
11 Cu 0.567 0.133 0.961
12 Se 0.287 0.573 0.679
13 Se 0.494 0.988 0.295
14 Bi 0.096 0.192 0.659
15 Se 0.367 0.735 0.012
16 Bi 0.904 0.808 0.159
17 Se 0.313 0.627 0.392
18 Bi 0.897 0.794 0.748

Output
final energy = -69.9 eV for the cell shown
total magnetic moment = 0.00 Bohr magnetons per cell
formation energy from raw total energies = -325.4 meV per atom

---

[7]
VASP calculation (PBE) on SrIn2CuBi after structural relaxation.

a = 5.080 Å, b = 5.080 Å, c = 5.713 Å
α = 90.00°, β = 90.00°, γ = 90.00°
Positions (direct):
1 Cu 0.000 0.000 0.000
2 Sr 0.000 0.000 0.500
3 In 0.000 0.500 0.000
4 In 0.500 0.000 0.000
5 Bi 0.500 0.500 0.500

Output
final energy = -16.0 eV for the cell shown
total magnetic moment = 0.00 Bohr magnetons per cell

---

[8]
VASP calculation (PBE) on TiInCu2Bi after structural relaxation.

a = 4.843 Å, b = 5.301 Å, c = 4.843 Å
α = 90.00°, β = 90.00°, γ = 90.00°
Positions (direct):
1 In 0.500 0.500 0.500
2 Cu 0.000 0.000 0.500
3 Bi 0.000 0.500 0.000
4 Ti 0.000 0.000 0.000
5 Cu 0.500 0.000 0.000

Output
final energy = -19.0 eV for the cell shown
total magnetic moment = 0.52 Bohr magnetons per cell